Computed, not measured: a relaxed structure of Sm3Mg21Sb16 at the GGA-PBEsol level of DFT.

Structure (CIF):
```
data_Sm3Mg21Sb16
_cell_length_a 4.5971
_cell_length_b 4.5971
_cell_length_c 57.7329
_cell_angle_alpha 90.00
_cell_angle_beta 90.00
_cell_angle_gamma 120.00
_space_group_name_H-M_alt 'P -3 m 1'
_space_group_IT_number 164
_space_group_name_Hall '-P 3 2"'
loop_
_atom_site_label
_atom_site_fract_x
_atom_site_fract_y
_atom_site_fract_z
Sm1 0.0000 0.0000 0.0000
Sm2 0.0000 0.0000 0.2506
Mg1 0.0000 0.0000 0.1253
Mg2 0.0000 0.0000 0.3771
Mg3 0.0000 0.0000 0.5000
Mg4 0.3333 0.6667 0.0816
Mg5 0.3333 0.6667 0.2032
Mg6 0.3333 0.6667 0.3325
Mg7 0.3333 0.6667 0.4549
Mg8 0.3333 0.6667 0.5783
Mg9 0.3333 0.6667 0.7018
Mg10 0.3333 0.6667 0.8311
Mg11 0.3333 0.6667 0.9527
Sb1 0.3333 0.6667 0.0307
Sb2 0.3333 0.6667 0.1528
Sb3 0.3333 0.6667 0.2812
Sb4 0.3333 0.6667 0.4037
Sb5 0.3333 0.6667 0.5277
Sb6 0.3333 0.6667 0.6516
Sb7 0.3333 0.6667 0.7801
Sb8 0.3333 0.6667 0.9023
```

Calculated values
- Energy: -3.584 eV/atom
- Magnetization: 0.00 μB per atom
- ΔE_f (raw): -0.48 eV/atom
- Crystal system: trigonal
- Calculated volume: 26.4 A^3/atom

Computed, not measured: a relaxed structure of KPtSeBr2 at the GGA-PBEsol level of DFT.

Structure (CIF):
```
data_KPtSeBr2
_cell_length_a 5.318
_cell_length_b 5.318
_cell_length_c 4.787
_cell_angle_alpha 90.00
_cell_angle_beta 90.00
_cell_angle_gamma 90.00
_space_group_name_H-M_alt 'P 4/m m m'
_space_group_IT_number 123
_space_group_name_Hall '-P 4 2'
loop_
_atom_site_label
_atom_site_fract_x
_atom_site_fract_y
_atom_site_fract_z
K1 0.000 0.000 0.000
Pt1 0.500 0.500 0.500
Se1 0.500 0.500 0.000
Br1 0.000 0.500 0.500
```

Calculated values
- Energy: -3.675 eV/atom
- Magnetization: 0.00 μB per atom
- ΔE_f (raw): -0.54 eV/atom
- Crystal system: tetragonal
- Calculated volume: 27.1 A^3/atom

Computed, not measured: a relaxed structure of Li2CoSnO4 at the GGA-PBEsol level of DFT.

Structure (CIF):
```
data_Li2CoSnO4
_cell_length_a 5.192
_cell_length_b 3.028
_cell_length_c 5.292
_cell_angle_alpha 90.00
_cell_angle_beta 110.07
_cell_angle_gamma 90.00
_space_group_name_H-M_alt 'P 1 2/m 1'
_space_group_IT_number 10
loop_
_space_group_symop_operation_xyz
'x,y,z'
'-x,-y,-z'
'-x,y,-z'
'x,-y,z'
loop_
_atom_site_label
_atom_site_fract_x
_atom_site_fract_y
_atom_site_fract_z
Li1 0.000 0.000 0.000
Li2 0.000 0.500 0.500
Co1 0.500 0.000 0.500
Sn1 0.500 0.500 0.000
O1 0.256 0.000 0.760
O2 0.272 0.500 0.250
```

Calculated values
- Energy: -6.156 eV/atom
- Magnetization: 0.38 μB per atom
- ΔE_f (raw): -1.54 eV/atom
- E above lowest polymorph: 0.000 eV/atom
- Crystal system: monoclinic
- Calculated volume: 9.8 A^3/atom

Computed, not measured: a relaxed structure of SiTeIr3 at the GGA-PBEsol level of DFT.

Structure (CIF):
```
data_SiTeIr3
_cell_length_a 4.797
_cell_length_b 4.797
_cell_length_c 4.797
_cell_angle_alpha 90.00
_cell_angle_beta 90.00
_cell_angle_gamma 90.00
_space_group_name_H-M_alt 'P m -3 m'
_space_group_IT_number 221
_space_group_name_Hall '-P 4 2 3'
loop_
_atom_site_label
_atom_site_fract_x
_atom_site_fract_y
_atom_site_fract_z
Si1 0.000 0.000 0.000
Te1 0.500 0.500 0.500
Ir1 0.000 0.500 0.500
```

Calculated values
- Energy: -5.790 eV/atom
- Magnetization: 0.14 μB per atom
- ΔE_f (raw): 1.96 eV/atom
- Crystal system: cubic
- Calculated volume: 22.1 A^3/atom

Computed, not measured: a relaxed structure of SbPdI2Cl at the GGA-PBEsol level of DFT.

Structure (CIF):
```
data_SbPdI2Cl
_cell_length_a 5.520
_cell_length_b 5.520
_cell_length_c 5.153
_cell_angle_alpha 90.00
_cell_angle_beta 90.00
_cell_angle_gamma 90.00
_space_group_name_H-M_alt 'P 4/m m m'
_space_group_IT_number 123
_space_group_name_Hall '-P 4 2'
loop_
_atom_site_label
_atom_site_fract_x
_atom_site_fract_y
_atom_site_fract_z
Sb1 0.000 0.000 0.000
Pd1 0.500 0.500 0.000
I1 0.000 0.500 0.500
Cl1 0.000 0.000 0.500
```

Calculated values
- Energy: -2.235 eV/atom
- Magnetization: 0.00 μB per atom
- ΔE_f (raw): 0.98 eV/atom
- Crystal system: tetragonal
- Calculated volume: 31.4 A^3/atom

Computed, not measured: a relaxed structure of ZrTa2Ru at the GGA-PBEsol level of DFT.

Structure (CIF):
```
data_ZrTa2Ru
_cell_length_a 3.223
_cell_length_b 4.506
_cell_length_c 4.721
_cell_angle_alpha 90.00
_cell_angle_beta 90.00
_cell_angle_gamma 90.00
_space_group_name_H-M_alt 'P m m m'
_space_group_IT_number 47
loop_
_space_group_symop_operation_xyz
'x,y,z'
'-x,-y,-z'
'-x,-y,z'
'x,y,-z'
'x,-y,-z'
'-x,y,z'
'-x,y,-z'
'x,-y,z'
loop_
_atom_site_label
_atom_site_fract_x
_atom_site_fract_y
_atom_site_fract_z
Zr1 0.000 0.000 0.000
Ta1 0.000 0.500 0.500
Ta2 0.500 0.000 0.500
Ru1 0.500 0.500 0.000
```

Calculated values
- Energy: -11.278 eV/atom
- Magnetization: 0.00 μB per atom
- Formation enthalpy at 0 K: -0.1870 eV per atom
- Crystal system: orthorhombic
- Calculated volume: 17.1 A^3/atom

Computed, not measured: a relaxed structure of Sr3TcBr at the GGA-PBEsol level of DFT.

Structure (CIF):
```
data_Sr3TcBr
_cell_length_a 5.730
_cell_length_b 5.730
_cell_length_c 5.730
_cell_angle_alpha 90.00
_cell_angle_beta 90.00
_cell_angle_gamma 90.00
_space_group_name_H-M_alt 'P m -3 m'
_space_group_IT_number 221
_space_group_name_Hall '-P 4 2 3'
loop_
_atom_site_label
_atom_site_fract_x
_atom_site_fract_y
_atom_site_fract_z
Sr1 0.000 0.000 0.500
Tc1 0.500 0.500 0.500
Br1 0.000 0.000 0.000
```

Calculated values
- Energy: -3.243 eV/atom
- Magnetization: 0.37 μB per atom
- ΔE_f (raw): 0.49 eV/atom
- Crystal system: cubic
- Calculated volume: 37.6 A^3/atom

Computed, not measured: a relaxed structure of ZrMnB3 at the GGA-PBEsol level of DFT.

Structure (CIF):
```
data_ZrMnB3
_cell_length_a 3.740
_cell_length_b 3.740
_cell_length_c 3.740
_cell_angle_alpha 90.00
_cell_angle_beta 90.00
_cell_angle_gamma 90.00
_space_group_name_H-M_alt 'P m -3 m'
_space_group_IT_number 221
_space_group_name_Hall '-P 4 2 3'
loop_
_atom_site_label
_atom_site_fract_x
_atom_site_fract_y
_atom_site_fract_z
Zr1 0.000 0.000 0.000
Mn1 0.500 0.500 0.500
B1 0.000 0.500 0.500
```

Calculated values
- Energy: -7.990 eV/atom
- Magnetization: 0.00 μB per atom
- Formation enthalpy at 0 K: -0.0103 eV per atom
- Crystal system: cubic
- Calculated volume: 10.5 A^3/atom

Computed, not measured: a relaxed structure of MnSiOs2 at the GGA-PBEsol level of DFT.

Structure (CIF):
```
data_MnSiOs2
_cell_length_a 4.162
_cell_length_b 4.162
_cell_length_c 2.946
_cell_angle_alpha 90.00
_cell_angle_beta 90.00
_cell_angle_gamma 90.00
_space_group_name_H-M_alt 'P 4/m m m'
_space_group_IT_number 123
_space_group_name_Hall '-P 4 2'
loop_
_atom_site_label
_atom_site_fract_x
_atom_site_fract_y
_atom_site_fract_z
Mn1 0.000 0.000 0.000
Si1 0.500 0.500 0.000
Os1 0.000 0.500 0.500
```

Calculated values
- Energy: -10.216 eV/atom
- Magnetization: 0.73 μB per atom
- ΔE_f (raw): -0.23 eV/atom
- Crystal system: tetragonal
- Calculated volume: 12.8 A^3/atom

Computed, not measured: a relaxed structure of Ta2IrW at the GGA-PBEsol level of DFT.

Structure (CIF):
```
data_Ta2IrW
_cell_length_a 6.366
_cell_length_b 6.366
_cell_length_c 6.366
_cell_angle_alpha 90.00
_cell_angle_beta 90.00
_cell_angle_gamma 90.00
_space_group_name_H-M_alt 'F m -3 m'
_space_group_IT_number 225
_space_group_name_Hall '-F 4 2 3'
loop_
_atom_site_label
_atom_site_fract_x
_atom_site_fract_y
_atom_site_fract_z
Ta1 0.250 0.250 0.250
Ir1 0.000 0.000 0.000
W1 0.000 0.000 0.500
```

Calculated values
- Energy: -12.483 eV/atom
- Magnetization: 0.00 μB per atom
- Formation enthalpy at 0 K: -0.2993 eV per atom
- E above lowest polymorph: 0.019 eV/atom
- Crystal system: cubic
- Calculated volume: 16.1 A^3/atom

Computed, not measured: a relaxed structure of BeRuBr2 at the GGA-PBEsol level of DFT.

Structure (CIF):
```
data_BeRuBr2
_cell_length_a 5.490
_cell_length_b 5.490
_cell_length_c 10.180
_cell_angle_alpha 90.00
_cell_angle_beta 90.00
_cell_angle_gamma 90.00
_space_group_name_H-M_alt 'I -4 2 d'
_space_group_IT_number 122
_space_group_name_Hall 'I -4 2bw'
loop_
_atom_site_label
_atom_site_fract_x
_atom_site_fract_y
_atom_site_fract_z
Be1 0.000 0.000 0.000
Ru1 0.000 0.000 0.500
Br1 0.207 0.250 0.125
```

Calculated values
- Energy: -3.918 eV/atom
- Magnetization: 0.34 μB per atom
- ΔE_f (raw): 0.56 eV/atom
- Crystal system: tetragonal
- Calculated volume: 19.2 A^3/atom

Computed, not measured: a relaxed structure of CaHgGe2Os at the GGA-PBEsol level of DFT.

Structure (CIF):
```
data_CaHgGe2Os
_cell_length_a 5.021
_cell_length_b 5.021
_cell_length_c 5.139
_cell_angle_alpha 90.00
_cell_angle_beta 90.00
_cell_angle_gamma 90.00
_space_group_name_H-M_alt 'P 4/m m m'
_space_group_IT_number 123
_space_group_name_Hall '-P 4 2'
loop_
_atom_site_label
_atom_site_fract_x
_atom_site_fract_y
_atom_site_fract_z
Ca1 0.000 0.000 0.000
Hg1 0.500 0.500 0.500
Ge1 0.000 0.500 0.500
Os1 0.500 0.500 0.000
```

Calculated values
- Energy: -3.783 eV/atom
- Magnetization: 0.27 μB per atom
- Formation enthalpy at 0 K: 1.1758 eV per atom
- Crystal system: tetragonal
- Calculated volume: 25.9 A^3/atom

Computed, not measured: a relaxed structure of KMn2Zn at the GGA-PBEsol level of DFT.

Structure (CIF):
```
data_KMn2Zn
_cell_length_a 2.9408
_cell_length_b 2.9408
_cell_length_c 29.8134
_cell_angle_alpha 90.00
_cell_angle_beta 90.00
_cell_angle_gamma 120.00
_space_group_name_H-M_alt 'R -3 m'
_space_group_IT_number 166
_space_group_name_Hall '-R 3 2"'
loop_
_atom_site_label
_atom_site_fract_x
_atom_site_fract_y
_atom_site_fract_z
K1 0.0000 0.0000 0.0000
Mn1 0.0000 0.0000 0.2333
Zn1 0.0000 0.0000 0.5000
```

Calculated values
- Energy: -4.665 eV/atom
- Magnetization: 1.82 μB per atom
- Formation enthalpy at 0 K: 0.8945 eV per atom
- Crystal system: trigonal
- Calculated volume: 18.6 A^3/atom